Compound: Tb2TmTh5
Source: the Alexandria database
Functional: GGA-PBE
Structure: optimized geometry

Computed properties:
theoretical density: 9.2 g cm⁻³
offset from the most stable computed form: 0.7995 eV/atom
DOS at the Fermi energy: 15.618 states/eV per cell
space group: P4/mmm
formation energy from the elements: 6.8 eV/f.u.

a b c (Å): 5.5261 7.3218 7.3218
angles (deg): 90.00 90.00 90.00
Closest atoms and distances in Å follow each position.
Sites, in units of the cell vectors:
1 Tb 0.5000 0.0000 0.5000  10 Th 3.66-3.80
2 Th 0.0000 0.2861 0.7139  1 Tm 2.96, 2 Th 3.13
3 Th 0.0000 0.7139 0.7139  1 Tm 2.96, 2 Th 3.13
4 Th 0.5000 0.0000 0.0000  2 Tm 2.76
5 Tb 0.5000 0.5000 0.0000  10 Th 3.66-3.80
6 Th 0.0000 0.7139 0.2861  1 Tm 2.96, 2 Th 3.13
7 Tm 0.0000 0.0000 0.0000  6 Th 2.76-2.96
8 Th 0.0000 0.2861 0.2861  1 Tm 2.96, 2 Th 3.13